The following is a DFT calculation (PBE) of a relaxed structure of ZnFeCuB.

The calculation puts the energy above the most stable polymorph in this dataset at 0 meV/atom.

abc: 5.4839 5.4839 5.4839
angles: 90.00 90.00 90.00
Last column: nearest neighbours and their distance in Å.
Space group F-43m (No. 216)
Unique sites:
Zn 0.0000 0.0000 0.0000 [4 per cell]  4 Cu 2.37, 4 Fe 2.37
Fe 0.2500 0.2500 0.7500 [4 per cell]  4 B 2.37, 4 Zn 2.37
Cu 0.2500 0.2500 0.2500 [4 per cell]  4 B 2.37, 4 Zn 2.37
B 0.0000 0.0000 0.5000 [4 per cell]  4 Fe 2.37, 4 Cu 2.37